# 1
This record from the Alexandria database describes a crystal of ZrZn2Cd relaxed with PBEsol. The functional is SCAN.

Calculated values
The calculation puts the magnetic moment at 0.0 μB per formula unit. The calculation puts the uncorrected energy at -22.093 eV/atom. Its density of states at the Fermi level is 0.592 states/eV/atom. For the energy of formation, the calculation gives -22 kJ/mol of formula units.

a = 3.076 Å, b = 4.657 Å, c = 5.657 Å
α = 114.30°, β = 105.77°, γ = 90.00°
Positions (direct):
Zn: 0.019 0.019 0.039
Zn: 0.730 0.230 0.460
Zr: 0.486 0.486 0.971
Cd: 0.265 0.765 0.529

# 2
This record from the Alexandria database describes a crystal of Na2HoTa5O15 relaxed with PBEsol. The functional is SCAN.

Calculated values
The calculation puts the magnetic moment at 0.0 μB per formula unit. The calculation puts the uncorrected energy at -24.080 eV/atom. Its density of states at the Fermi level is 0.000 states/eV/atom. The calculation puts the formation energy from raw total energies at -3.04 eV per atom.

a = 3.890 Å, b = 12.460 Å, c = 12.460 Å
α = 90.00°, β = 90.00°, γ = 90.00°
Positions (direct):
O: 0.500 0.923 0.187
O: 0.000 0.003 0.341
O: 0.500 0.187 0.077
O: 0.000 0.722 0.778
O: 0.500 0.577 0.687
O: 0.000 0.941 0.870
O: 0.500 0.423 0.313
O: 0.000 0.503 0.159
O: 0.500 0.313 0.577
O: 0.000 0.778 0.278
O: 0.500 0.813 0.923
O: 0.000 0.341 0.997
O: 0.000 0.278 0.222
O: 0.000 0.370 0.441
O: 0.000 0.159 0.497
O: 0.000 0.659 0.003
O: 0.500 0.077 0.813
O: 0.000 0.441 0.630
O: 0.000 0.497 0.841
O: 0.000 0.130 0.941
O: 0.000 0.059 0.130
O: 0.000 0.559 0.370
O: 0.000 0.841 0.503
O: 0.500 0.687 0.423
O: 0.000 0.630 0.559
O: 0.500 0.500 0.000
O: 0.000 0.870 0.059
O: 0.000 0.997 0.659
O: 0.500 0.000 0.500
O: 0.000 0.222 0.722
Ta: 0.000 0.421 0.289
Ta: 0.000 0.211 0.079
Ta: 0.000 0.079 0.789
Ta: 0.000 0.289 0.579
Ta: 0.000 0.921 0.211
Ta: 0.000 0.711 0.421
Ta: 0.000 0.500 0.000
Ta: 0.000 0.000 0.500
Ta: 0.000 0.579 0.711
Ta: 0.000 0.789 0.921
Na: 0.500 0.343 0.843
Na: 0.500 0.843 0.657
Na: 0.500 0.157 0.343
Na: 0.500 0.657 0.157
Ho: 0.500 0.000 0.000
Ho: 0.500 0.500 0.500

# 3
This record from the Alexandria database describes a crystal of Al2SiHg relaxed with PBEsol. The functional is SCAN.

Calculated values
The calculation puts the magnetic moment at 0.0 μB per formula unit. The calculation puts the uncorrected energy at -23.260 eV/atom. Its density of states at the Fermi level is 0.428 states/eV/atom. For the polymorph energy (0 for the lowest one), the calculation gives 4 meV per atom. The calculation puts the formation energy from raw total energies at 0.16 eV per atom.

a = 3.317 Å, b = 3.317 Å, c = 7.839 Å
α = 77.78°, β = 77.78°, γ = 60.00°
Positions (direct):
Hg: 0.500 0.500 0.500
Al: 0.744 0.744 0.768
Al: 0.256 0.256 0.232
Si: 0.000 0.000 0.000

# 4
This record from the Alexandria database describes a crystal of LaNb2IrBr relaxed with PBEsol. The functional is SCAN.

Calculated values
The calculation puts the magnetic moment at 0.0 μB per formula unit. The calculation puts the uncorrected energy at -39.195 eV/atom. Its density of states at the Fermi level is 0.969 states/eV/atom. The calculation puts the formation energy from raw total energies at 0.79 eV per atom.

a = 4.770 Å, b = 4.770 Å, c = 4.783 Å
α = 90.00°, β = 90.00°, γ = 90.00°
Positions (direct):
Nb: 0.000 0.500 0.000
Nb: 0.500 0.000 0.000
Br: 0.000 0.000 0.000
La: 0.500 0.500 0.500
Ir: 0.000 0.000 0.500

# 5
This record from the Alexandria database describes a crystal of Co4SbO8 relaxed with PBEsol. The functional is SCAN.

Calculated values
The calculation puts the magnetic moment at 7.0 μB per formula unit. The calculation puts the uncorrected energy at -13.327 eV/atom. Its density of states at the Fermi level is 0.346 states/eV/atom. The calculation puts the formation energy from raw total energies at -1.30 eV per atom.

a = 5.578 Å, b = 5.794 Å, c = 5.794 Å
α = 120.57°, β = 118.30°, γ = 61.70°
Positions (direct):
O: 0.272 0.258 0.742
O: 0.740 0.244 0.756
O: 0.272 0.222 0.271
O: 0.728 0.742 0.258
O: 0.728 0.271 0.222
O: 0.260 0.756 0.244
O: 0.728 0.778 0.729
O: 0.272 0.729 0.778
Co: 0.119 0.617 0.383
Co: 0.881 0.383 0.617
Co: 0.500 0.000 0.500
Co: 0.500 0.500 0.000
Sb: 0.000 0.000 0.000

# 6
This record from the Alexandria database describes a crystal of BaCd relaxed with PBEsol. The functional is SCAN.

Calculated values
The calculation puts the magnetic moment at 0.0 μB per formula unit. The calculation puts the uncorrected energy at -35.297 eV/atom. Its density of states at the Fermi level is 0.606 states/eV/atom. For the energy of formation, the calculation gives -61 kJ/mol of formula units.

a = 5.029 Å, b = 5.029 Å, c = 8.197 Å
α = 72.14°, β = 72.14°, γ = 60.00°
Positions (direct):
Cd: 0.334 0.334 0.999
Cd: 0.666 0.666 0.001
Ba: 0.088 0.088 0.736
Ba: 0.912 0.912 0.264

# 7
This record from the Alexandria database describes a crystal of CsRe3Te relaxed with PBEsol. The functional is SCAN.

Calculated values
The calculation puts the magnetic moment at 3.2 μB per formula unit. The calculation puts the uncorrected energy at -53.371 eV/atom. Its density of states at the Fermi level is 1.263 states/eV/atom. The calculation puts the formation energy from raw total energies at 4.30 eV per atom.

a = 4.893 Å, b = 4.893 Å, c = 4.893 Å
α = 90.00°, β = 90.00°, γ = 90.00°
Positions (direct):
Re: 0.500 0.000 0.000
Re: 0.000 0.500 0.000
Re: 0.000 0.000 0.500
Cs: 0.000 0.000 0.000
Te: 0.500 0.500 0.500

# 8
This record from the Alexandria database describes a crystal of Ti5CrP6O24 relaxed with PBEsol. The functional is SCAN.

Calculated values
The calculation puts the magnetic moment at 4.0 μB per formula unit. The calculation puts the uncorrected energy at -11.355 eV/atom. Its density of states at the Fermi level is 0.266 states/eV/atom. The calculation puts the formation energy from raw total energies at -2.73 eV per atom.

a = 8.264 Å, b = 8.264 Å, c = 8.264 Å
α = 63.38°, β = 63.38°, γ = 63.38°
Positions (direct):
P: 0.758 0.457 0.039
P: 0.532 0.962 0.254
P: 0.039 0.758 0.457
P: 0.254 0.532 0.962
P: 0.457 0.039 0.758
P: 0.962 0.254 0.532
O: 0.334 0.492 0.114
O: 0.501 0.883 0.679
O: 0.612 0.999 0.833
O: 0.102 0.735 0.948
O: 0.679 0.501 0.883
O: 0.378 0.998 0.180
O: 0.906 0.253 0.052
O: 0.833 0.612 0.999
O: 0.758 0.405 0.552
O: 0.735 0.948 0.102
O: 0.604 0.442 0.240
O: 0.883 0.679 0.501
O: 0.114 0.334 0.492
O: 0.948 0.102 0.735
O: 0.998 0.180 0.378
O: 0.240 0.604 0.442
O: 0.492 0.114 0.334
O: 0.180 0.378 0.998
O: 0.552 0.758 0.405
O: 0.405 0.552 0.758
O: 0.442 0.240 0.604
O: 0.999 0.833 0.612
O: 0.052 0.906 0.253
O: 0.253 0.052 0.906
Ti: 0.994 0.994 0.994
Ti: 0.865 0.865 0.865
Ti: 0.639 0.639 0.639
Ti: 0.498 0.498 0.498
Ti: 0.365 0.365 0.365
Cr: 0.137 0.137 0.137

- Which value of uncorrected energy does entry 6 give?
  -35.297 eV/atom

- density of states at the Fermi level of number 2 (Na2HoTa5O15)?
  0.000 states/eV/atom